# Nd6DyHo12 (GGA-PBE, relaxed)
# * raw total energy: -4.42 eV per atom
# * calculated density: 7.81 Mg/m³
# * relative energy among the computed polymorphs: 0.092 eV/atom
# * formation enthalpy at 0 K: 4.986 kcal/mol of atoms
data_Nd6DyHo12
_chemical_formula_sum 'Nd18 Dy3 Ho36'
_space_group_name_H-M_alt 'R -3 m'
_space_group_IT_number 166
_space_group_name_Hall '-R 3 2"'
_cell_length_a 13.2452
_cell_length_b 13.2452
_cell_length_c 12.6320
_cell_angle_alpha 90.00
_cell_angle_beta 90.00
_cell_angle_gamma 120.00
loop_
_atom_site_label
_atom_site_type_symbol
_atom_site_fract_x
_atom_site_fract_y
_atom_site_fract_z
Nd1 Nd 0.0395 0.5197 0.1170
Dy1 Dy 0.0000 0.0000 0.5000
Ho1 Ho 0.0000 0.2567 0.0000
Ho2 Ho 0.0912 0.1824 0.7642